Below is an optimized crystal structure of NbAgO3, with properties calculated at the PBE level.

Total moment: 1.94 μB per formula unit
Crystal system: cubic
Electronic total energy: -26.61 eV per cell
Calculated density: 6.5 g cm⁻³

```
NbAgO3
1.0
3.982 0.000 0.000
0.000 3.982 0.000
0.000 0.000 3.982
Nb Ag O
1 1 3
Direct
0.000 0.000 0.000 Nb
0.500 0.500 0.500 Ag
0.000 0.500 0.500 O
0.500 0.000 0.500 O
0.500 0.500 0.000 O
```